(1)
Ca4CrAs: relaxed, GGA-PBE.

Calculated values
SG: No. 216

a = 6.5104 Å, b = 6.5104 Å, c = 6.5104 Å
α = 60.00°, β = 60.00°, γ = 60.00°
Element x y z (fractional)
Ca1 0.3744 0.3744 0.8767
Ca2 0.3744 0.8767 0.3744
Ca3 0.8767 0.3744 0.3744
Ca4 0.3744 0.3744 0.3744
Cr1 0.7500 0.7500 0.7500
As1 0.0000 0.0000 0.0000

(2)
LaScZnNi: relaxed, GGA-PBE.

Calculated values
SG: No. 216

a = 4.9257 Å, b = 4.9257 Å, c = 4.9257 Å
α = 60.00°, β = 60.00°, γ = 60.00°
Element x y z (fractional)
Zn1 0.7500 0.7500 0.7500
Sc1 0.0000 0.0000 0.0000
Ni1 0.2500 0.2500 0.2500
La1 0.5000 0.5000 0.5000

| no. | total magnetization (μB/cell) | theoretical density (kg/m³) | energy relative to the elements (eV per atom) |
| --- | --- | --- | --- |
| 1 | 4.5 | 2444 | 0.5814 |
| 2 | 0.0 | 6051 | -0.2406 |